DFT (PBE+U) results for a relaxed SrCoNO2 crystal.

Calculated values
Raw total energy (Ry/atom): -0.295
Space-group type: P4/mmm (123)

abc: 4.4745 4.4745 4.4937
angles: 90.00 90.00 90.00
With the nearest neighbours (Å) after each atom.
Sites, in units of the cell vectors:
Sr 0.0000 0.0000 0.0000  4 O 2.24, 2 N 2.25
Co 0.5000 0.5000 0.5000  4 N 3.16, 8 O 3.17
O 0.0000 0.5000 0.0000  2 Sr 2.24
O 0.5000 0.0000 0.0000  2 Sr 2.24
N 0.0000 0.0000 0.5000  2 Sr 2.25